{"formula": "Al6Se7", "functional": "PBE-GGA", "state": "optimized geometry", "crystal_system": "trigonal", "sg": "No. 166", "density_g_cm3": 3.86, "total_energy_ev_per_atom": -3.6766, "cell": [[8.2113, -0.0199, -0.0132], [5.1926, 6.3611, -0.0132], [5.1926, 2.4565, 5.8676]], "species": ["Se", "Se", "Se", "Se", "Se", "Se", "Se", "Al", "Al", "Al", "Al", "Al", "Al"], "fractional_positions": [[0.5818, 0.0747, 0.5818], [0.5818, 0.5818, 0.0747], [0.0747, 0.5818, 0.5818], [0.4182, 0.4182, 0.9253], [0.9253, 0.4182, 0.4182], [0.5000, 0.5000, 0.5000], [0.4182, 0.9253, 0.4182], [0.3319, 0.3319, 0.3319], [0.1856, 0.1856, 0.1856], [0.0635, 0.0635, 0.0635], [0.9365, 0.9365, 0.9365], [0.8144, 0.8144, 0.8144], [0.6681, 0.6681, 0.6681]]}



{"formula": "Al2Se", "functional": "PBE-GGA", "state": "optimized geometry", "crystal_system": "orthorhombic", "sg": "No. 62", "density_g_cm3": 3.86, "total_energy_ev_per_atom": -3.8917, "cell": [[5.2767, 0.0000, 0.0000], [0.0000, 5.2775, 0.0000], [0.0000, 0.0000, 8.2031]], "species": ["Se", "Se", "Se", "Se", "Al", "Al", "Al", "Al", "Al", "Al", "Al", "Al"], "fractional_positions": [[0.2500, 0.4999, 0.3750], [0.7500, 0.0001, 0.8750], [0.2500, 0.9999, 0.1250], [0.7500, 0.5001, 0.6250], [0.7500, 0.9994, 0.2055], [0.2500, 0.5006, 0.7055], [0.2500, 0.0010, 0.4552], [0.7500, 0.4990, 0.9552], [0.7500, 0.4994, 0.2945], [0.2500, 0.0006, 0.7945], [0.2500, 0.5010, 0.0448], [0.7500, 0.9990, 0.5448]]}



{"formula": "Al2Se", "functional": "PBE-GGA", "state": "optimized geometry", "crystal_system": "monoclinic", "sg": "No. 8", "density_g_cm3": 3.53, "total_energy_ev_per_atom": -3.8462, "cell": [[-1.2030, 0.0577, -5.8214], [-1.1228, -3.2649, -4.8393], [-7.0292, -0.8901, -2.4371]], "species": ["Se", "Se", "Al", "Al", "Al", "Al"], "fractional_positions": [[0.0695, 0.0695, 0.4125], [0.7744, 0.7744, 0.9382], [0.3035, 0.3035, 0.3820], [0.9575, 0.9575, 0.0431], [0.6534, 0.6534, 0.7336], [0.4083, 0.4083, 0.6572]]}



{"formula": "Al2Se", "functional": "PBE-GGA", "state": "optimized geometry", "crystal_system": "hexagonal", "sg": "No. 191", "density_g_cm3": 3.41, "total_energy_ev_per_atom": -3.4425, "cell": [[4.4563, 0.0000, 0.0000], [-2.2282, 3.8593, 0.0000], [0.0000, 0.0000, 3.7589]], "species": ["Al", "Al", "Se"], "fractional_positions": [[0.3333, 0.6667, 0.5000], [0.6667, 0.3333, 0.5000], [0.0000, 0.0000, 0.0000]]}